[1]
# NpSi2Pt (PBE, relaxed)
# Fermi-level density of states in states/eV/f.u.: 6.1
# Final energy in eV/atom: -8.02
# Crystal system: trigonal
# E_form (uncorrected) in eV per formula unit: -2.24
# Volume in Å³ per atom: 18.07
data_NpSi2Pt
_chemical_formula_sum 'Np3 Si6 Pt3'
_space_group_name_H-M_alt 'R -3 m'
_space_group_IT_number 166
_space_group_name_Hall '-R 3 2"'
_cell_length_a 4.0632
_cell_length_b 4.0632
_cell_length_c 15.1689
_cell_angle_alpha 90.00
_cell_angle_beta 90.00
_cell_angle_gamma 120.00
loop_
_atom_site_label
_atom_site_type_symbol
_atom_site_fract_x
_atom_site_fract_y
_atom_site_fract_z
_atom_site_occupancy
Np1 Np 0.0000 0.0000 0.0000 1
Si1 Si 0.0000 0.0000 0.2188 1
Pt1 Pt 0.0000 0.0000 0.5000 1

---

[2]
# Bi2HRuO6 (PBE, relaxed)
# Fermi-level density of states in states/eV/f.u.: 2.1
# Final energy in eV/atom: -5.88
# Crystal system: monoclinic
# Volume in Å³ per atom: 12.40
data_Bi2HRuO6
_chemical_formula_sum 'Bi4 H2 Ru2 O12'
_space_group_name_H-M_alt 'P 1 21/c 1'
_space_group_IT_number 14
_cell_length_a 5.623
_cell_length_b 4.381
_cell_length_c 11.248
_cell_angle_alpha 90.00
_cell_angle_beta 116.46
_cell_angle_gamma 90.00
loop_
_space_group_symop_operation_xyz
'x,y,z'
'-x,-y,-z'
'-x,y+1/2,-z+1/2'
'x,-y+1/2,z+1/2'
loop_
_atom_site_label
_atom_site_type_symbol
_atom_site_fract_x
_atom_site_fract_y
_atom_site_fract_z
_atom_site_occupancy
Bi1 Bi 0.185 0.044 0.187 1
H1 H 0.000 0.000 0.500 1
Ru1 Ru 0.500 0.000 0.000 1
O1 O 0.122 0.233 0.477 1
O2 O 0.216 0.660 0.327 1
O3 O 0.421 0.735 0.108 1

---

[3]
# KSbAs2 (PBE, relaxed)
# Fermi-level density of states in states/eV/f.u.: 0.8
# Final energy in eV/atom: -3.72
# Crystal system: orthorhombic
# E_form (uncorrected) in eV per formula unit: -0.37
# Volume in Å³ per atom: 27.28
data_KSbAs2
_chemical_formula_sum 'K1 Sb1 As2'
_space_group_name_H-M_alt 'P m m m'
_space_group_IT_number 47
_cell_length_a 3.119
_cell_length_b 5.506
_cell_length_c 6.356
_cell_angle_alpha 90.00
_cell_angle_beta 90.00
_cell_angle_gamma 90.00
loop_
_space_group_symop_operation_xyz
'x,y,z'
'-x,-y,-z'
'-x,-y,z'
'x,y,-z'
'x,-y,-z'
'-x,y,z'
'-x,y,-z'
'x,-y,z'
loop_
_atom_site_label
_atom_site_type_symbol
_atom_site_fract_x
_atom_site_fract_y
_atom_site_fract_z
_atom_site_occupancy
K1 K 0.000 0.000 0.000 1
Sb1 Sb 0.500 0.000 0.500 1
As1 As 0.500 0.500 0.307 1

---

[4]
# Ba6Si2Hg (PBE, relaxed)
# Fermi-level density of states in states/eV/f.u.: 9.5
# Final energy in eV/atom: -2.80
# Crystal system: orthorhombic
# E_form (uncorrected) in eV per formula unit: -2.53
# Volume in Å³ per atom: 42.64
data_Ba6Si2Hg
_chemical_formula_sum 'Ba24 Si8 Hg4'
_space_group_name_H-M_alt 'I m m m'
_space_group_IT_number 71
_space_group_name_Hall '-I 2 2'
_cell_length_a 11.274
_cell_length_b 11.518
_cell_length_c 11.820
_cell_angle_alpha 90.00
_cell_angle_beta 90.00
_cell_angle_gamma 90.00
loop_
_atom_site_label
_atom_site_type_symbol
_atom_site_fract_x
_atom_site_fract_y
_atom_site_fract_z
_atom_site_occupancy
Ba1 Ba 0.000 0.191 0.181 1
Ba2 Ba 0.179 0.215 0.500 1
Ba3 Ba 0.205 0.500 0.271 1
Si1 Si 0.000 0.000 0.398 1
Si2 Si 0.112 0.000 0.000 1
Hg1 Hg 0.000 0.500 0.000 1
Hg2 Hg 0.000 0.500 0.500 1

---

[5]
# Ce2NbAs4Ru3 (PBE, relaxed)
# Fermi-level density of states in states/eV/f.u.: 12.2
# Final energy in eV/atom: -7.50
# Crystal system: tetragonal
# Volume in Å³ per atom: 18.85
data_Ce2NbAs4Ru3
_chemical_formula_sum 'Ce2 Nb1 As4 Ru3'
_space_group_name_H-M_alt 'P -4 m 2'
_space_group_IT_number 115
_cell_length_a 4.269
_cell_length_b 4.269
_cell_length_c 10.343
_cell_angle_alpha 90.00
_cell_angle_beta 90.00
_cell_angle_gamma 90.00
loop_
_space_group_symop_operation_xyz
'x,y,z'
'y,-x,-z'
'-x,-y,z'
'-y,x,-z'
'-x,y,z'
'-y,-x,-z'
'x,-y,z'
'y,x,-z'
loop_
_atom_site_label
_atom_site_type_symbol
_atom_site_fract_x
_atom_site_fract_y
_atom_site_fract_z
_atom_site_occupancy
Ce1 Ce 0.000 0.500 0.232 1
Nb1 Nb 0.000 0.000 0.500 1
As1 As 0.000 0.000 0.000 1
As2 As 0.000 0.500 0.646 1
As3 As 0.500 0.500 0.000 1
Ru1 Ru 0.000 0.500 0.883 1
Ru2 Ru 0.500 0.500 0.500 1

---

[6]
# YHo3Au (PBE, relaxed)
# Fermi-level density of states in states/eV/f.u.: 6.9
# Final energy in eV/atom: -4.97
# Crystal system: monoclinic
# Volume in Å³ per atom: 28.90
data_YHo3Au
_chemical_formula_sum 'Y2 Ho6 Au2'
_space_group_name_H-M_alt 'P 1 21/m 1'
_space_group_IT_number 11
_cell_length_a 6.717
_cell_length_b 5.181
_cell_length_c 8.305
_cell_angle_alpha 90.00
_cell_angle_beta 90.06
_cell_angle_gamma 90.00
loop_
_space_group_symop_operation_xyz
'x,y,z'
'-x,-y,-z'
'-x,y+1/2,-z'
'x,-y+1/2,z'
loop_
_atom_site_label
_atom_site_type_symbol
_atom_site_fract_x
_atom_site_fract_y
_atom_site_fract_z
_atom_site_occupancy
Y1 Y 0.079 0.250 0.250 1
Ho1 Ho 0.223 0.250 0.750 1
Ho2 Ho 0.295 0.750 0.048 1
Ho3 Ho 0.296 0.750 0.452 1
Au1 Au 0.496 0.750 0.750 1

---

[7]
# Tl2SbRu4 (PBE, relaxed)
# Fermi-level density of states in states/eV/f.u.: 7.9
# Final energy in eV/atom: -5.28
# Crystal system: tetragonal
# E_form (uncorrected) in eV per formula unit: 9.01
# Volume in Å³ per atom: 22.74
data_Tl2SbRu4
_chemical_formula_sum 'Tl4 Sb2 Ru8'
_space_group_name_H-M_alt 'I 4/m m m'
_space_group_IT_number 139
_space_group_name_Hall '-I 4 2'
_cell_length_a 4.788
_cell_length_b 4.788
_cell_length_c 13.888
_cell_angle_alpha 90.00
_cell_angle_beta 90.00
_cell_angle_gamma 90.00
loop_
_atom_site_label
_atom_site_type_symbol
_atom_site_fract_x
_atom_site_fract_y
_atom_site_fract_z
_atom_site_occupancy
Tl1 Tl 0.000 0.000 0.126 1
Sb1 Sb 0.000 0.000 0.500 1
Ru1 Ru 0.000 0.000 0.319 1
Ru2 Ru 0.000 0.500 0.000 1

---

[8]
# YGa4Sn (PBE, relaxed)
# Fermi-level density of states in states/eV/f.u.: 2.8
# Final energy in eV/atom: -4.02
# Crystal system: cubic
# Volume in Å³ per atom: 20.56
data_YGa4Sn
_chemical_formula_sum 'Y4 Ga16 Sn4'
_space_group_name_H-M_alt 'F -4 3 m'
_space_group_IT_number 216
_space_group_name_Hall 'F -4 2 3'
_cell_length_a 7.902
_cell_length_b 7.902
_cell_length_c 7.902
_cell_angle_alpha 90.00
_cell_angle_beta 90.00
_cell_angle_gamma 90.00
loop_
_atom_site_label
_atom_site_type_symbol
_atom_site_fract_x
_atom_site_fract_y
_atom_site_fract_z
_atom_site_occupancy
Y1 Y 0.000 0.000 0.000 1
Ga1 Ga 0.125 0.125 0.625 1
Sn1 Sn 0.250 0.250 0.250 1

---

[9]
# Pm6ZnGa2 (PBE, relaxed)
# Fermi-level density of states in states/eV/f.u.: 12.1
# Final energy in eV/atom: -4.13
# Crystal system: monoclinic
# Volume in Å³ per atom: 30.72
data_Pm6ZnGa2
_chemical_formula_sum 'Pm12 Zn2 Ga4'
_space_group_name_H-M_alt 'C 1 2/m 1'
_space_group_IT_number 12
_cell_length_a 16.000
_cell_length_b 7.184
_cell_length_c 5.068
_cell_angle_alpha 90.00
_cell_angle_beta 108.35
_cell_angle_gamma 90.00
loop_
_space_group_symop_operation_xyz
'x,y,z'
'-x,-y,-z'
'-x,y,-z'
'x,-y,z'
'x+1/2,y+1/2,z'
'-x+1/2,-y+1/2,-z'
'-x+1/2,y+1/2,-z'
'x+1/2,-y+1/2,z'
loop_
_atom_site_label
_atom_site_type_symbol
_atom_site_fract_x
_atom_site_fract_y
_atom_site_fract_z
_atom_site_occupancy
Pm1 Pm 0.000 0.249 0.000 1
Pm2 Pm 0.166 0.249 0.666 1
Zn1 Zn 0.000 0.000 0.500 1
Ga1 Ga 0.167 0.500 0.166 1

---

[10]
# AgHgI2 (PBE, relaxed)
# Fermi-level density of states in states/eV/f.u.: 1.9
# Final energy in eV/atom: -1.61
# Crystal system: trigonal
# E_form (uncorrected) in eV per formula unit: -0.20
# Volume in Å³ per atom: 39.28
data_AgHgI2
_chemical_formula_sum 'Ag3 Hg3 I6'
_space_group_name_H-M_alt 'R -3 m'
_space_group_IT_number 166
_space_group_name_Hall '-R 3 2"'
_cell_length_a 4.3898
_cell_length_b 4.3898
_cell_length_c 28.2420
_cell_angle_alpha 90.00
_cell_angle_beta 90.00
_cell_angle_gamma 120.00
loop_
_atom_site_label
_atom_site_type_symbol
_atom_site_fract_x
_atom_site_fract_y
_atom_site_fract_z
_atom_site_occupancy
Ag1 Ag 0.0000 0.0000 0.0000 1
Hg1 Hg 0.0000 0.0000 0.5000 1
I1 I 0.0000 0.0000 0.3918 1

---

[11]
# UOs2W (PBE, relaxed)
# Fermi-level density of states in states/eV/f.u.: 5.7
# Final energy in eV/atom: -11.46
# Crystal system: trigonal
# Volume in Å³ per atom: 16.54
data_UOs2W
_chemical_formula_sum 'U3 Os6 W3'
_space_group_name_H-M_alt 'R -3 m'
_space_group_IT_number 166
_space_group_name_Hall '-R 3 2"'
_cell_length_a 2.8359
_cell_length_b 2.8359
_cell_length_c 28.5001
_cell_angle_alpha 90.00
_cell_angle_beta 90.00
_cell_angle_gamma 120.00
loop_
_atom_site_label
_atom_site_type_symbol
_atom_site_fract_x
_atom_site_fract_y
_atom_site_fract_z
_atom_site_occupancy
U1 U 0.0000 0.0000 0.0000 1
Os1 Os 0.0000 0.0000 0.2430 1
W1 W 0.0000 0.0000 0.5000 1

---

[12]
# LaGd2Sn (PBE, relaxed)
# Fermi-level density of states in states/eV/f.u.: 5.9
# Final energy in eV/atom: -9.63
# Crystal system: tetragonal
# Volume in Å³ per atom: 30.63
data_LaGd2Sn
_chemical_formula_sum 'La1 Gd2 Sn1'
_space_group_name_H-M_alt 'P 4/m m m'
_space_group_IT_number 123
_space_group_name_Hall '-P 4 2'
_cell_length_a 4.071
_cell_length_b 4.071
_cell_length_c 7.392
_cell_angle_alpha 90.00
_cell_angle_beta 90.00
_cell_angle_gamma 90.00
loop_
_atom_site_label
_atom_site_type_symbol
_atom_site_fract_x
_atom_site_fract_y
_atom_site_fract_z
_atom_site_occupancy
La1 La 0.000 0.000 0.000 1
Gd1 Gd 0.500 0.500 0.287 1
Sn1 Sn 0.000 0.000 0.500 1

---

[13]
# MgTlTe2 (PBE, relaxed)
# Fermi-level density of states in states/eV/f.u.: 3.0
# Final energy in eV/atom: -2.85
# Crystal system: orthorhombic
# E_form (uncorrected) in eV per formula unit: -1.17
# Volume in Å³ per atom: 32.08
data_MgTlTe2
_chemical_formula_sum 'Mg2 Tl2 Te4'
_space_group_name_H-M_alt 'I m m m'
_space_group_IT_number 71
_space_group_name_Hall '-I 2 2'
_cell_length_a 4.403
_cell_length_b 6.711
_cell_length_c 8.684
_cell_angle_alpha 90.00
_cell_angle_beta 90.00
_cell_angle_gamma 90.00
loop_
_atom_site_label
_atom_site_type_symbol
_atom_site_fract_x
_atom_site_fract_y
_atom_site_fract_z
_atom_site_occupancy
Mg1 Mg 0.000 0.000 0.000 1
Tl1 Tl 0.000 0.000 0.500 1
Te1 Te 0.000 0.500 0.291 1

---

[14]
# Mn2Tc2W (PBE, relaxed)
# Fermi-level density of states in states/eV/f.u.: 9.8
# Final energy in eV/atom: -10.23
# Crystal system: tetragonal
# Volume in Å³ per atom: 13.53
data_Mn2Tc2W
_chemical_formula_sum 'Mn4 Tc4 W2'
_space_group_name_H-M_alt 'P 4/m b m'
_space_group_IT_number 127
_space_group_name_Hall '-P 4 2ab'
_cell_length_a 6.934
_cell_length_b 6.934
_cell_length_c 2.815
_cell_angle_alpha 90.00
_cell_angle_beta 90.00
_cell_angle_gamma 90.00
loop_
_atom_site_label
_atom_site_type_symbol
_atom_site_fract_x
_atom_site_fract_y
_atom_site_fract_z
_atom_site_occupancy
Mn1 Mn 0.131 0.369 0.000 1
Tc1 Tc 0.167 0.667 0.500 1
W1 W 0.000 0.000 0.000 1

---

[15]
# Pr2In (PBE, relaxed)
# Fermi-level density of states in states/eV/f.u.: 4.3
# Final energy in eV/atom: -4.44
# Crystal system: hexagonal
# Volume in Å³ per atom: 31.74
data_Pr2In
_chemical_formula_sum 'Pr4 In2'
_space_group_name_H-M_alt 'P 63/m m c'
_space_group_IT_number 194
_space_group_name_Hall '-P 6c 2c'
_cell_length_a 5.6082
_cell_length_b 5.6082
_cell_length_c 6.9908
_cell_angle_alpha 90.00
_cell_angle_beta 90.00
_cell_angle_gamma 120.00
loop_
_atom_site_label
_atom_site_type_symbol
_atom_site_fract_x
_atom_site_fract_y
_atom_site_fract_z
_atom_site_occupancy
Pr1 Pr 0.0000 0.0000 0.0000 1
Pr2 Pr 0.3333 0.6667 0.2500 1
In1 In 0.3333 0.6667 0.7500 1

---

[16]
# LaMn (PBE, relaxed)
# Fermi-level density of states in states/eV/f.u.: 2.9
# Final energy in eV/atom: -6.72
# Crystal system: orthorhombic
# Volume in Å³ per atom: 24.89
data_LaMn
_chemical_formula_sum 'La6 Mn6'
_space_group_name_H-M_alt 'A m m 2'
_space_group_IT_number 38
_cell_length_a 4.988
_cell_length_b 3.922
_cell_length_c 15.269
_cell_angle_alpha 90.00
_cell_angle_beta 90.00
_cell_angle_gamma 90.00
loop_
_space_group_symop_operation_xyz
'x,y,z'
'-x,-y,z'
'-x,y,z'
'x,-y,z'
'x,y+1/2,z+1/2'
'-x,-y+1/2,z+1/2'
'-x,y+1/2,z+1/2'
'x,-y+1/2,z+1/2'
loop_
_atom_site_label
_atom_site_type_symbol
_atom_site_fract_x
_atom_site_fract_y
_atom_site_fract_z
_atom_site_occupancy
La1 La 0.000 0.000 0.000 1
La2 La 0.000 0.000 0.318 1
La3 La 0.500 0.000 0.158 1
Mn1 Mn 0.000 0.000 0.659 1
Mn2 Mn 0.500 0.000 0.472 1
Mn3 Mn 0.500 0.000 0.843 1

---

[17]
# HoI3N (PBE, relaxed)
# Fermi-level density of states in states/eV/f.u.: 0.0
# Final energy in eV/atom: -3.60
# Crystal system: triclinic
# E_form (uncorrected) in eV per formula unit: -0.46
# Volume in Å³ per atom: 43.77
data_HoI3N
_chemical_formula_sum 'Ho2 I6 N2'
_space_group_name_H-M_alt 'P 1'
_space_group_IT_number 1
_cell_length_a 7.663
_cell_length_b 7.670
_cell_length_c 9.628
_cell_angle_alpha 89.99
_cell_angle_beta 66.99
_cell_angle_gamma 60.07
loop_
_space_group_symop_operation_xyz
'x,y,z'
loop_
_atom_site_label
_atom_site_type_symbol
_atom_site_fract_x
_atom_site_fract_y
_atom_site_fract_z
_atom_site_occupancy
Ho1 Ho 0.000 0.000 0.000 1
Ho2 Ho 0.333 0.334 0.001 1
I1 I 0.160 0.241 0.795 1
I2 I 0.173 0.093 0.206 1
I3 I 0.443 0.600 0.795 1
I4 I 0.533 0.375 0.207 1
I5 I 0.800 0.959 0.795 1
I6 I 0.890 0.735 0.206 1
N1 N 0.349 0.826 0.482 1
N2 N 0.982 0.508 0.520 1

---

[18]
# Cd2CuAg (PBE, relaxed)
# Fermi-level density of states in states/eV/f.u.: 0.7
# Final energy in eV/atom: -2.16
# Crystal system: tetragonal
# Volume in Å³ per atom: 18.11
data_Cd2CuAg
_chemical_formula_sum 'Cd4 Cu2 Ag2'
_space_group_name_H-M_alt 'I -4 m 2'
_space_group_IT_number 119
_space_group_name_Hall 'I -4 -2'
_cell_length_a 4.077
_cell_length_b 4.077
_cell_length_c 8.714
_cell_angle_alpha 90.00
_cell_angle_beta 90.00
_cell_angle_gamma 90.00
loop_
_atom_site_label
_atom_site_type_symbol
_atom_site_fract_x
_atom_site_fract_y
_atom_site_fract_z
_atom_site_occupancy
Cd1 Cd 0.000 0.000 0.000 1
Cd2 Cd 0.000 0.500 0.250 1
Cu1 Cu 0.000 0.500 0.750 1
Ag1 Ag 0.000 0.000 0.500 1

---

[19]
# Ce2Zn12Co5 (PBE, relaxed)
# Fermi-level density of states in states/eV/f.u.: 14.0
# Final energy in eV/atom: -3.46
# Crystal system: trigonal
# Volume in Å³ per atom: 15.23
data_Ce2Zn12Co5
_chemical_formula_sum 'Ce6 Zn36 Co15'
_space_group_name_H-M_alt 'R -3 m'
_space_group_IT_number 166
_space_group_name_Hall '-R 3 2"'
_cell_length_a 8.9252
_cell_length_b 8.9252
_cell_length_c 12.5829
_cell_angle_alpha 90.00
_cell_angle_beta 90.00
_cell_angle_gamma 120.00
loop_
_atom_site_label
_atom_site_type_symbol
_atom_site_fract_x
_atom_site_fract_y
_atom_site_fract_z
_atom_site_occupancy
Ce1 Ce 0.0000 0.0000 0.1846 1
Zn1 Zn 0.0000 0.2818 0.5000 1
Zn2 Zn 0.0005 0.5003 0.6515 1
Co1 Co 0.0000 0.0000 0.3711 1
Co2 Co 0.0000 0.5000 0.0000 1

---

[20]
# Pm4Dy3Te8 (PBE, relaxed)
# Fermi-level density of states in states/eV/f.u.: 6.9
# Final energy in eV/atom: -5.27
# Crystal system: monoclinic
# E_form (uncorrected) in eV per formula unit: -21.12
# Volume in Å³ per atom: 32.05
data_Pm4Dy3Te8
_chemical_formula_sum 'Pm8 Dy6 Te16'
_space_group_name_H-M_alt 'C 1 2/m 1'
_space_group_IT_number 12
_cell_length_a 12.429
_cell_length_b 12.436
_cell_length_c 8.792
_cell_angle_alpha 90.00
_cell_angle_beta 134.96
_cell_angle_gamma 90.00
loop_
_space_group_symop_operation_xyz
'x,y,z'
'-x,-y,-z'
'-x,y,-z'
'x,-y,z'
'x+1/2,y+1/2,z'
'-x+1/2,-y+1/2,-z'
'-x+1/2,y+1/2,-z'
'x+1/2,-y+1/2,z'
loop_
_atom_site_label
_atom_site_type_symbol
_atom_site_fract_x
_atom_site_fract_y
_atom_site_fract_z
_atom_site_occupancy
Pm1 Pm 0.000 0.000 0.000 1
Pm2 Pm 0.000 0.000 0.500 1
Pm3 Pm 0.250 0.250 0.000 1
Dy1 Dy 0.000 0.500 0.000 1
Dy2 Dy 0.250 0.250 0.500 1
Te1 Te 0.000 0.253 0.000 1
Te2 Te 0.000 0.258 0.500 1
Te3 Te 0.239 0.500 0.494 1
Te4 Te 0.239 0.500 0.984 1